No. 1
Cu5Au4: optimized geometry, GGA-PBE.

As for the space group: I4/mmm (139). The spin magnetization is 0.00 μB per formula unit. As for the offset from the most stable computed form: 0.0000 eV/atom.

a b c (Å): 6.248 6.248 6.248
angles (deg): 95.19 95.19 144.99
Element x y z (fractional)
1 Cu 0.000 0.000 0.000
2 Cu 0.338 0.338 0.676
3 Cu 0.338 0.662 0.000
4 Cu 0.662 0.338 0.000
5 Cu 0.662 0.662 0.324
6 Au 0.000 0.316 0.316
7 Au 0.000 0.684 0.684
8 Au 0.316 0.000 0.316
9 Au 0.684 0.000 0.684

---

No. 2
Cu3Au8: optimized geometry, GGA-PBE.

As for the space group: C2/m (12). The spin magnetization is 0.00 μB per formula unit. As for the offset from the most stable computed form: 0.0000 eV/atom.

a b c (Å): 4.971 4.971 10.646
angles (deg): 104.73 104.73 46.34
Element x y z (fractional)
1 Cu 0.000 0.000 0.000
2 Cu 0.090 0.090 0.633
3 Cu 0.910 0.910 0.367
4 Au 0.189 0.189 0.276
5 Au 0.279 0.279 0.912
6 Au 0.370 0.370 0.545
7 Au 0.455 0.455 0.184
8 Au 0.545 0.545 0.816
9 Au 0.630 0.630 0.455
10 Au 0.721 0.721 0.088
11 Au 0.811 0.811 0.724

---

No. 3
Cu4Au: optimized geometry, GGA-PBE.

As for the space group: R-3m (166). The spin magnetization is 0.00 μB per formula unit. As for the offset from the most stable computed form: 0.0900 eV/atom.

a b c (Å): 10.602 10.602 10.602
angles (deg): 14.80 14.80 14.80
Element x y z (fractional)
1 Cu 0.094 0.094 0.094
2 Cu 0.302 0.302 0.302
3 Cu 0.698 0.698 0.698
4 Cu 0.906 0.906 0.906
5 Au 0.500 0.500 0.500

---

No. 4
CuAu2: optimized geometry, GGA-PBE.

As for the space group: I4_1/amd (141). The spin magnetization is 0.00 μB per formula unit. As for the offset from the most stable computed form: 0.0282 eV/atom.

a b c (Å): 12.360 12.360 12.360
angles (deg): 161.26 161.26 26.62
Element x y z (fractional)
1 Cu 0.289 0.539 0.750
2 Cu 0.461 0.711 0.750
3 Cu 0.539 0.289 0.250
4 Cu 0.711 0.461 0.250
5 Au 0.040 0.790 0.250
6 Au 0.124 0.374 0.750
7 Au 0.210 0.960 0.250
8 Au 0.374 0.124 0.250
9 Au 0.626 0.876 0.750
10 Au 0.790 0.040 0.750
11 Au 0.876 0.626 0.250
12 Au 0.960 0.210 0.750

---

No. 5
CuAu2: optimized geometry, GGA-PBE.

As for the space group: Cm (8). The spin magnetization is 0.00 μB per formula unit. As for the offset from the most stable computed form: 0.0501 eV/atom.

a b c (Å): 5.430 5.430 6.768
angles (deg): 105.23 105.23 30.73
Element x y z (fractional)
1 Cu 0.000 0.000 0.000
2 Cu 0.667 0.667 0.305
3 Au 0.289 0.289 0.068
4 Au 0.322 0.322 0.639
5 Au 0.608 0.608 0.749
6 Au 0.971 0.971 0.387

---

No. 6
CuAu3: optimized geometry, GGA-PBE.

As for the space group: Pmmn (59). As for the total energy: -3.4773 eV per atom. The spin magnetization is 0.00 μB per formula unit.

a b c (Å): 4.693 5.848 4.900
angles (deg): 90.00 90.00 90.00
Element x y z (fractional)
1 Cu 0.250 0.250 0.167
2 Cu 0.750 0.750 0.833
3 Au 0.250 0.002 0.669
4 Au 0.250 0.498 0.669
5 Au 0.250 0.750 0.156
6 Au 0.750 0.250 0.844
7 Au 0.750 0.502 0.331
8 Au 0.750 0.998 0.331